Cr4OF11 | GGA+U | optimized geometry

```
data_Cr4OF11
_cell_length_a 4.939
_cell_length_b 4.973
_cell_length_c 9.385
_cell_angle_alpha 92.45
_cell_angle_beta 98.21
_cell_angle_gamma 118.73
_symmetry_space_group_name_H-M 'P 1'
_symmetry_Int_Tables_number 1
_symmetry_space_group_name_Hall 'P 1'
loop_
_atom_site_label
_atom_site_type_symbol
_atom_site_fract_x
_atom_site_fract_y
_atom_site_fract_z
_atom_site_occupancy
Cr1 Cr 0.000 0.000 0.000 1
Cr2 Cr 0.217 0.552 0.772 1
Cr3 Cr 0.496 0.483 0.508 1
Cr4 Cr 0.768 0.403 0.248 1
O1 O 0.965 0.269 0.879 1
F1 F 0.022 0.698 0.127 1
F2 F 0.139 0.448 0.374 1
F3 F 0.224 0.240 0.640 1
F4 F 0.249 0.908 0.882 1
F5 F 0.382 0.329 0.121 1
F6 F 0.483 0.802 0.632 1
F7 F 0.504 0.159 0.383 1
F8 F 0.614 0.643 0.891 1
F9 F 0.753 0.063 0.129 1
F10 F 0.768 0.725 0.376 1
F11 F 0.858 0.522 0.640 1
```

Calculated values
total energy: -95.924 eV/cell
relative energy among the computed polymorphs: 34 meV per atom